First-principles (GGA-PBE) data for a relaxed Pm6HoEr3 crystal, as listed in Alexandria via LeMat-Bulk.

Cell lengths 6.2915, 11.0839, 11.0839 Å; angles 120.66, 90.00, 90.00 degrees
Closest atoms and distances in Å follow each position.
Fractional coordinates of all 20 atoms:
Pm 0.6483 0.2797 0.7203  4 Pm 3.14-3.48, 1 Ho 3.34, 1 Er 3.40
Pm 0.8575 0.9431 0.5214  5 Pm 3.14-3.51, 1 Er 3.28, 2 Ho 3.37-3.45
Pm 0.4007 0.9620 0.0380  1 Ho 3.35, 4 Er 3.47-3.59, 4 Pm 3.47-3.75
Pm 0.1483 0.7203 0.2797  4 Pm 3.14-3.48, 1 Ho 3.34, 1 Er 3.40
Pm 0.3575 0.5214 0.9431  5 Pm 3.14-3.51, 1 Er 3.28, 2 Ho 3.37-3.45
Pm 0.9007 0.0380 0.9620  1 Ho 3.35, 4 Er 3.47-3.59, 4 Pm 3.47-3.75
Pm 0.0454 0.3745 0.2883  4 Er 3.48-3.73, 5 Pm 3.51-3.75
Pm 0.8575 0.4786 0.0569  5 Pm 3.14-3.51, 1 Er 3.28, 2 Ho 3.37-3.45
Pm 0.3575 0.0569 0.4786  5 Pm 3.14-3.51, 1 Er 3.28, 2 Ho 3.37-3.45
Pm 0.0454 0.7117 0.6255  4 Er 3.48-3.73, 5 Pm 3.51-3.75
Pm 0.5454 0.2883 0.3745  4 Er 3.48-3.73, 5 Pm 3.51-3.75
Pm 0.5454 0.6255 0.7117  4 Er 3.48-3.73, 5 Pm 3.51-3.75
Ho 0.6156 0.8026 0.1974  3 Er 3.30-3.64, 6 Pm 3.34-3.45
Ho 0.1156 0.1974 0.8026  3 Er 3.30-3.64, 6 Pm 3.34-3.45
Er 0.9679 0.7194 0.9458  6 Pm 3.28-3.59, 1 Ho 3.30, 1 Er 3.67
Er 0.0789 0.3862 0.6138  7 Pm 3.40-3.73, 1 Ho 3.64, 2 Er 3.72
Er 0.4679 0.9458 0.7194  6 Pm 3.28-3.59, 1 Ho 3.30, 1 Er 3.67
Er 0.5789 0.6138 0.3862  7 Pm 3.40-3.73, 1 Ho 3.64, 2 Er 3.72
Er 0.9679 0.0542 0.2806  6 Pm 3.28-3.59, 1 Ho 3.30, 1 Er 3.67
Er 0.4679 0.2806 0.0542  6 Pm 3.28-3.59, 1 Ho 3.30, 1 Er 3.67

Total DFT energy (no corrections) (eV for the cell shown): -90.653
D(E_F) (states/eV/f.u.): 13.84
Energy of formation from the pure elements (eV per atom): 0.144
Total moment (μB per formula unit): 0.00